[1]
A plane-wave DFT calculation with PBE with a Hubbard U was carried out for a geometry-optimized VCuTeO6 structure.

a = 5.1017 Å, b = 5.1017 Å, c = 9.1070 Å
α = 90.00°, β = 90.00°, γ = 120.00°
Space group P-31c (No. 163)
Inequivalent atoms, fractional coordinates:
V (0.3333, 0.6667, 0.2500) x2
Cu (0.0000, 0.0000, 0.0000) x2
Te (0.3333, 0.6667, 0.7500) x2
O (0.0039, 0.3606, 0.1337) x12

Its magnetization is 0.000 μB/atom. The value obtained for the total energy is -108.8 eV for the cell shown.

=====

[2]
A plane-wave DFT calculation with PBE with a Hubbard U was carried out for a geometry-optimized CuTeWO6 structure.

a = 5.3735 Å, b = 5.3735 Å, c = 9.0392 Å
α = 90.00°, β = 90.00°, γ = 120.00°
Space group P-31c (No. 163)
Inequivalent atoms, fractional coordinates:
Cu (0.0000, 0.0000, 0.0000) x2
Te (0.3333, 0.6667, 0.2500) x2
W (0.3333, 0.6667, 0.7500) x2
O (0.0223, 0.3628, 0.6313) x12

Its magnetization is 0.095 μB/atom. The value obtained for the total energy is -109.0 eV for the cell shown.